1.
Sr3Cd4Ge2: relaxed, PBE-GGA.

Unit cell a=6.4439 b=6.4439 c=9.4576 alpha=107.66 beta=107.66 gamma=43.35
Closest atoms and distances in Å follow each position.
Positions (direct):
Sr (0.0000, 0.0000, 0.0000)  8 Cd 3.40-3.58, 4 Ge 3.41
Sr (0.3238, 0.3238, 0.3486)  4 Ge 3.43-3.66, 8 Cd 3.46-3.76
Sr (0.6762, 0.6762, 0.6514)  4 Ge 3.43-3.66, 8 Cd 3.46-3.76
Cd (0.0393, 0.0393, 0.3728)  2 Ge 2.77, 1 Cd 2.86
Cd (0.2781, 0.2781, 0.9357)  1 Ge 2.76, 2 Cd 2.85
Cd (0.7219, 0.7219, 0.0643)  1 Ge 2.76, 2 Cd 2.85
Cd (0.9607, 0.9607, 0.6272)  2 Ge 2.77, 1 Cd 2.86
Ge (0.3967, 0.3967, 0.7302)  3 Cd 2.76-2.77
Ge (0.6033, 0.6033, 0.2698)  3 Cd 2.76-2.77

- energy of formation (eV/atom) = -0.41
- SG = No. 12


2.
RbYSc2: relaxed, PBE-GGA.

Unit cell a=12.6317 b=12.6317 c=12.6317 alpha=15.76 beta=15.76 gamma=15.76
Closest atoms and distances in Å follow each position.
Positions (direct):
Rb (0.0000, 0.0000, 0.0000)  6 Rb 3.46, 2 Sc 3.53
Y (0.5000, 0.5000, 0.5000)  6 Sc 3.37, 6 Y 3.46
Sc (0.0943, 0.0943, 0.0943)  3 Y 3.37, 6 Sc 3.46, 1 Rb 3.53
Sc (0.9057, 0.9057, 0.9057)  3 Y 3.37, 6 Sc 3.46, 1 Rb 3.53

- energy of formation (eV/atom) = 0.42
- energy above the most stable polymorph in this dataset (meV/atom) = 0
- SG = No. 166


3.
Rb3CrSe: relaxed, PBE-GGA.

Unit cell a=6.6313 b=6.6313 c=6.6313 alpha=90.00 beta=90.00 gamma=90.00
Closest atoms and distances in Å follow each position.
Positions (direct):
Rb (0.0000, 0.0000, 0.5000)  2 Se 3.32
Rb (0.0000, 0.5000, 0.0000)  2 Se 3.32
Rb (0.5000, 0.0000, 0.0000)  2 Se 3.32
Cr (0.5000, 0.5000, 0.5000)  12 Rb 4.69
Se (0.0000, 0.0000, 0.0000)  6 Rb 3.32

- energy relative to the elements, uncorrected (eV per atom) = 0.0053
- energy above the most stable polymorph in this dataset (meV/atom) = 0
- SG = No. 221


4.
CdTcSbI2: relaxed, PBE-GGA.

Unit cell a=5.6256 b=5.6256 c=5.1455 alpha=90.00 beta=90.00 gamma=90.00
Closest atoms and distances in Å follow each position.
Positions (direct):
Cd (0.0000, 0.0000, 0.0000)  8 I 3.81, 4 Sb 3.98
Tc (0.5000, 0.5000, 0.5000)  2 Sb 2.57, 4 I 2.81
Sb (0.5000, 0.5000, 0.0000)  2 Tc 2.57
I (0.0000, 0.5000, 0.5000)  2 Tc 2.81
I (0.5000, 0.0000, 0.5000)  2 Tc 2.81

- energy relative to the elements, uncorrected (eV per atom) = 0.4273
- energy above the most stable polymorph in this dataset (meV/atom) = 0
- SG = No. 123


5.
Ho2Si3Ni4Ge: relaxed, PBE-GGA.

Unit cell a=3.9871 b=3.9871 c=9.5057 alpha=90.00 beta=90.00 gamma=90.00
Closest atoms and distances in Å follow each position.
Positions (direct):
Ho (0.0000, 0.5000, 0.2463)  6 Si 3.04-3.13, 8 Ni 3.05-3.07, 2 Ge 3.13
Ho (0.5000, 0.0000, 0.7537)  6 Si 3.04-3.13, 8 Ni 3.05-3.07, 2 Ge 3.13
Si (0.0000, 0.5000, 0.8733)  5 Ni 2.30-2.33
Si (0.5000, 0.0000, 0.1267)  5 Ni 2.30-2.33
Si (0.5000, 0.5000, 0.5000)  4 Ni 2.35
Ni (0.0000, 0.0000, 0.0000)  4 Si 2.33
Ni (0.0000, 0.5000, 0.6317)  3 Si 2.30-2.35, 2 Ge 2.35
Ni (0.5000, 0.0000, 0.3683)  3 Si 2.30-2.35, 2 Ge 2.35
Ni (0.5000, 0.5000, 0.0000)  4 Si 2.33
Ge (0.0000, 0.0000, 0.5000)  4 Ni 2.35

- energy relative to the elements, uncorrected (eV per atom) = -0.7979
- SG = No. 115


6.
NdInHgPt: relaxed, PBE-GGA.

Unit cell a=5.0508 b=5.0508 c=5.0508 alpha=60.00 beta=60.00 gamma=60.00
Closest atoms and distances in Å follow each position.
Positions (direct):
Nd (0.0000, 0.0000, 0.0000)  4 Hg 3.09, 4 Pt 3.09
In (0.5000, 0.5000, 0.5000)  4 Hg 3.09, 4 Pt 3.09
Hg (0.7500, 0.7500, 0.7500)  4 In 3.09, 4 Nd 3.09
Pt (0.2500, 0.2500, 0.2500)  4 In 3.09, 4 Nd 3.09

- energy of formation (eV/atom) = -0.60
- SG = No. 216


7.
K2VW: relaxed, PBE-GGA.

Unit cell a=5.8386 b=5.8386 c=5.8386 alpha=60.00 beta=60.00 gamma=60.00
Closest atoms and distances in Å follow each position.
Positions (direct):
K (0.2500, 0.2500, 0.2500)  4 W 3.58, 4 V 3.58
K (0.7500, 0.7500, 0.7500)  4 W 3.58, 4 V 3.58
V (0.0000, 0.0000, 0.0000)  8 K 3.58
W (0.5000, 0.5000, 0.5000)  8 K 3.58

- energy of formation (eV/atom) = 2.33
- energy above the most stable polymorph in this dataset (meV/atom) = 584
- SG = No. 225


8.
Nd8NiRu3Cl4: relaxed, PBE-GGA.

Unit cell a=8.9613 b=8.9613 c=8.9613 alpha=53.42 beta=53.42 gamma=53.42
Closest atoms and distances in Å follow each position.
Positions (direct):
Nd (0.2316, 0.7365, 0.7365)  2 Ru 2.80, 1 Ni 2.82
Nd (0.2367, 0.2367, 0.2367)  3 Ru 2.83
Nd (0.2635, 0.2635, 0.7684)  2 Ru 2.80, 1 Ni 2.82
Nd (0.2635, 0.7684, 0.2635)  2 Ru 2.80, 1 Ni 2.82
Nd (0.7365, 0.2316, 0.7365)  2 Ru 2.80, 1 Ni 2.82
Nd (0.7365, 0.7365, 0.2316)  2 Ru 2.80, 1 Ni 2.82
Nd (0.7633, 0.7633, 0.7633)  3 Ru 2.83
Nd (0.7684, 0.2635, 0.2635)  2 Ru 2.80, 1 Ni 2.82
Ni (0.5000, 0.5000, 0.5000)  6 Nd 2.82
Ru (0.0000, 0.0000, 0.5000)  6 Nd 2.80-2.83
Ru (0.0000, 0.5000, 0.0000)  6 Nd 2.80-2.83
Ru (0.5000, 0.0000, 0.0000)  6 Nd 2.80-2.83
Cl (0.0000, 0.0000, 0.0000)  6 Nd 3.23
Cl (0.0000, 0.5000, 0.5000)  6 Nd 3.21-3.25
Cl (0.5000, 0.0000, 0.5000)  6 Nd 3.21-3.25
Cl (0.5000, 0.5000, 0.0000)  6 Nd 3.21-3.25

- energy relative to the elements, uncorrected (eV per atom) = -0.9000
- SG = No. 166